Record 1
Compound: Cr2CoN
Source: Alexandria
Functional: PBE-GGA
Structure: optimized geometry

The value obtained for the energy is -8.460 eV/atom. As for the size of the total moment: 2.45 μB per formula unit.

It has space group R-3m (No. 166, hexagonal axes), with a = 2.6372 Å, b = 2.6372 Å, c = 21.1300 Å, α = 90.00°, β = 90.00° and γ = 120.00°. Symmetry generates all atoms from Cr at (0.0000, 0.0000, 0.1082), Co at (0.0000, 0.0000, 0.0000) and N at (0.0000, 0.0000, 0.5000).

***

Record 2
Compound: Cr3Co2N
Source: Alexandria
Functional: PBE-GGA
Structure: optimized geometry

The value obtained for the energy is -8.773 eV/atom. As for the size of the total moment: 1.84 μB per formula unit.

It has space group P4_132 (No. 213), with a = 6.2424 Å, b = 6.2424 Å, c = 6.2424 Å, α = 90.00°, β = 90.00° and γ = 90.00°. Symmetry generates all atoms from Cr at (0.0469, 0.1250, 0.7969), Co at (0.0679, 0.9321, 0.4321) and N at (0.1250, 0.3750, 0.6250).

***

Record 3
Compound: Cr2CoN
Source: Alexandria
Functional: PBE-GGA
Structure: optimized geometry

The value obtained for the energy is -8.596 eV/atom. As for the size of the total moment: 0.00 μB per formula unit.

It has space group I-42d (No. 122), with a = 6.3661 Å, b = 6.3661 Å, c = 4.0745 Å, α = 90.00°, β = 90.00° and γ = 90.00°. Symmetry generates all atoms from Cr at (0.1459, 0.2500, 0.1250), Co at (0.0000, 0.0000, 0.5000) and N at (0.0000, 0.0000, 0.0000).

***

Record 4
Compound: CrCoN
Source: Alexandria
Functional: PBE-GGA
Structure: optimized geometry

The value obtained for the energy is -7.655 eV/atom. As for the size of the total moment: 1.21 μB per formula unit.

It has space group I4mm (No. 107), with a = 3.1818 Å, b = 3.1818 Å, c = 5.9488 Å, α = 90.00°, β = 90.00° and γ = 90.00°. Symmetry generates all atoms from Cr at (0.0000, 0.0000, 0.0000), Co at (0.0000, 0.0000, 0.3662) and N at (0.0000, 0.0000, 0.6835).

***

Record 5
Compound: CrCo2N
Source: Alexandria
Functional: PBE-GGA
Structure: optimized geometry

The value obtained for the energy is -7.521 eV/atom. As for the size of the total moment: 0.99 μB per formula unit.

It has space group I-42d (No. 122), with a = 4.7092 Å, b = 4.7092 Å, c = 8.8057 Å, α = 90.00°, β = 90.00° and γ = 90.00°. Symmetry generates all atoms from Cr at (0.0000, 0.0000, 0.0000), Co at (0.1671, 0.2500, 0.6250) and N at (0.0000, 0.0000, 0.5000).

***

Record 6
Compound: CrCoN
Source: Alexandria
Functional: PBE-GGA
Structure: optimized geometry

The value obtained for the energy is -8.246 eV/atom. As for the size of the total moment: 1.31 μB per formula unit.

It has space group P4/nmm (No. 129, origin choice 2), with a = 2.7349 Å, b = 2.7349 Å, c = 8.4672 Å, α = 90.00°, β = 90.00° and γ = 90.00°. Symmetry generates all atoms from Cr at (0.2500, 0.2500, 0.1073), Co at (0.2500, 0.2500, 0.4235) and N at (0.2500, 0.2500, 0.8637).

***

Record 7
Compound: CrCoNi2N
Source: Alexandria
Functional: PBE-GGA
Structure: optimized geometry

The value obtained for the energy is -7.272 eV/atom. As for the size of the total moment: 3.56 μB per formula unit.

It has space group P4/mmm (No. 123), with a = 3.7479 Å, b = 3.7479 Å, c = 3.7679 Å, α = 90.00°, β = 90.00° and γ = 90.00°. Symmetry generates all atoms from Cr at (0.0000, 0.0000, 0.0000), Co at (0.5000, 0.5000, 0.0000), Ni at (0.0000, 0.5000, 0.5000) and N at (0.0000, 0.0000, 0.5000).

***

Record 8
Compound: CrCo2NiN
Source: Alexandria
Functional: PBE-GGA
Structure: optimized geometry

The value obtained for the energy is -7.617 eV/atom. As for the size of the total moment: 4.62 μB per formula unit.

It has space group P4/mmm (No. 123), with a = 3.7251 Å, b = 3.7251 Å, c = 3.7827 Å, α = 90.00°, β = 90.00° and γ = 90.00°. Symmetry generates all atoms from Cr at (0.0000, 0.0000, 0.0000), Co at (0.0000, 0.5000, 0.5000), Ni at (0.5000, 0.5000, 0.0000) and N at (0.0000, 0.0000, 0.5000).

***

Record 9
Compound: Cr2CoNiN
Source: Alexandria
Functional: PBE-GGA
Structure: optimized geometry

The value obtained for the energy is -8.180 eV/atom. As for the size of the total moment: 0.53 μB per formula unit.

It has space group P4/mmm (No. 123), with a = 3.7522 Å, b = 3.7522 Å, c = 3.7168 Å, α = 90.00°, β = 90.00° and γ = 90.00°. Symmetry generates all atoms from Cr at (0.0000, 0.5000, 0.0000), Co at (0.0000, 0.0000, 0.5000), Ni at (0.5000, 0.5000, 0.5000) and N at (0.0000, 0.0000, 0.0000).

***

Record 10
Compound: Cr2CoOsN
Source: Alexandria
Functional: PBE-GGA
Structure: optimized geometry

The value obtained for the energy is -9.213 eV/atom. As for the size of the total moment: 0.38 μB per formula unit.

It has space group P4/mmm (No. 123), with a = 3.8119 Å, b = 3.8119 Å, c = 3.7492 Å, α = 90.00°, β = 90.00° and γ = 90.00°. Symmetry generates all atoms from Cr at (0.0000, 0.5000, 0.0000), Co at (0.0000, 0.0000, 0.5000), Os at (0.5000, 0.5000, 0.5000) and N at (0.0000, 0.0000, 0.0000).

***

Record 11
Compound: Cr2CoPtN
Source: Alexandria
Functional: PBE-GGA
Structure: optimized geometry

The value obtained for the energy is -8.370 eV/atom. As for the size of the total moment: 0.00 μB per formula unit.

It has space group P4/mmm (No. 123), with a = 3.8067 Å, b = 3.8067 Å, c = 3.8423 Å, α = 90.00°, β = 90.00° and γ = 90.00°. Symmetry generates all atoms from Cr at (0.0000, 0.5000, 0.0000), Co at (0.0000, 0.0000, 0.5000), Pt at (0.5000, 0.5000, 0.5000) and N at (0.0000, 0.0000, 0.0000).

***

Record 12
Compound: Cr2CoReN
Source: Alexandria
Functional: PBE-GGA
Structure: optimized geometry

The value obtained for the energy is -7.728 eV/atom. As for the size of the total moment: 1.72 μB per formula unit.

It has space group P4/mmm (No. 123), with a = 4.6386 Å, b = 4.6386 Å, c = 3.7464 Å, α = 90.00°, β = 90.00° and γ = 90.00°. Symmetry generates all atoms from Cr at (0.0000, 0.5000, 0.0000), Co at (0.0000, 0.0000, 0.5000), Re at (0.5000, 0.5000, 0.0000) and N at (0.5000, 0.5000, 0.5000).

***

Record 13
Compound: CrCo2RhN
Source: Alexandria
Functional: PBE-GGA
Structure: optimized geometry

The value obtained for the energy is -7.929 eV/atom. As for the size of the total moment: 3.28 μB per formula unit.

It has space group P4/mmm (No. 123), with a = 3.7729 Å, b = 3.7729 Å, c = 3.8175 Å, α = 90.00°, β = 90.00° and γ = 90.00°. Symmetry generates all atoms from Cr at (0.0000, 0.0000, 0.0000), Co at (0.0000, 0.5000, 0.5000), Rh at (0.5000, 0.5000, 0.0000) and N at (0.0000, 0.0000, 0.5000).